Na3V4CdO12 | GGA+U | relaxed

Raw total energy   -6.13 eV per atom
Space group   No. 155
Total magnetic moment   0.016 μB per atom

Cell lengths 7.4023, 7.4023, 7.4023 Å; angles 111.23, 111.23, 111.23 degrees
Closest atoms and distances in Å follow each position.
Fractional coordinates of all 20 atoms:
Na 0.0000 0.5711 0.4289  6 O 2.27-2.38
Na 0.4289 0.0000 0.5711  6 O 2.27-2.38
Na 0.5711 0.4289 0.0000  6 O 2.27-2.38
V 0.0730 0.5000 0.9270  3 O 1.67-1.74
V 0.5000 0.5000 0.5000  3 O 1.69
V 0.5000 0.9270 0.0730  3 O 1.67-1.74
V 0.9270 0.0730 0.5000  3 O 1.67-1.74
Cd 0.0000 0.0000 0.0000  6 O 3.00
O 0.0638 0.9362 0.5000  1 V 1.67
O 0.0949 0.6448 0.7879  1 V 1.74
O 0.2121 0.3552 0.9051  1 V 1.74
O 0.3552 0.9051 0.2121  1 V 1.74
O 0.3618 0.6382 0.5000  1 V 1.69
O 0.5000 0.0638 0.9362  1 V 1.67
O 0.5000 0.3618 0.6382  1 V 1.69
O 0.6382 0.5000 0.3618  1 V 1.69
O 0.6448 0.7879 0.0949  1 V 1.74
O 0.7879 0.0949 0.6448  1 V 1.74
O 0.9051 0.2121 0.3552  1 V 1.74
O 0.9362 0.5000 0.0638  1 V 1.67